# 1
PuH: relaxed, PBE-GGA. Values from VASP.

symmetry	Fm-3m (225)
calculated total energy	-9.018	eV/atom
N(E_F)	5.75	states/eV/f.u.
crystal system	cubic

```
&SYSTEM
  ibrav = 0, nat = 2, ntyp = 2
/
ATOMIC_SPECIES
H 1.01 H.upf
Pu 244.00 Pu.upf
CELL_PARAMETERS angstrom
-1.0900 1.7007 -2.7923
-3.0567 -0.7620 -1.3977
-2.6146 2.2311 0.2527
ATOMIC_POSITIONS angstrom
H 0.0000 0.0000 0.0000
Pu -3.3806 1.5849 -1.9687
```

# 2
NiBiPb: relaxed, PBE-GGA. Values from VASP.

symmetry	P2_1/c (14)
calculated total energy	-4.402	eV/atom
N(E_F)	1.46	states/eV/f.u.
crystal system	monoclinic

```
&SYSTEM
  ibrav = 0, nat = 12, ntyp = 3
/
ATOMIC_SPECIES
Ni 58.69 Ni.upf
Pb 207.20 Pb.upf
Bi 208.98 Bi.upf
CELL_PARAMETERS angstrom
-1.9684 2.8768 4.8016
3.1736 -4.4448 3.9640
6.1761 4.0953 0.0783
ATOMIC_POSITIONS angstrom
Ni 3.7121 2.8551 3.4758
Ni 5.7738 3.1571 7.8061
Ni 3.6692 -0.3278 5.3681
Ni 1.6074 -0.6298 1.0378
Pb 6.2771 -0.7864 4.9455
Pb 3.2256 -2.8874 4.8173
Pb 1.1042 3.3137 3.8984
Pb 4.1557 5.4147 4.0266
Bi 1.0655 -0.0271 5.7491
Bi 4.0445 2.1799 6.0542
Bi 6.3157 2.5544 3.0948
Bi 3.3367 0.3474 2.7897
```

# 3
KBI: relaxed, PBE-GGA. Values from VASP.

uncorrected formation energy	-0.0007	eV per atom
symmetry	Cmce (64)
crystal system	orthorhombic

```
&SYSTEM
  ibrav = 0, nat = 12, ntyp = 3
/
ATOMIC_SPECIES
B 10.81 B.upf
K 39.10 K.upf
I 126.90 I.upf
CELL_PARAMETERS angstrom
8.9815 0.0000 0.0000
-4.4907 4.9675 0.0000
0.0000 0.0000 8.9612
ATOMIC_POSITIONS angstrom
B 4.4907 0.7238 4.5354
B 4.4907 4.2437 0.0548
B 0.0000 4.2437 4.4258
B 0.0000 0.7238 8.9064
K 2.2454 0.1352 2.2403
K -2.2454 4.8323 6.7209
K 2.2454 4.8323 6.7209
K 6.7361 0.1352 2.2403
I 4.4907 2.8614 4.3988
I 4.4907 2.1061 8.8794
I 0.0000 2.1061 4.5624
I 0.0000 2.8614 0.0818
```

# 4
NdSm4Y15: relaxed, PBE-GGA. Values from VASP.

symmetry	P4/mmm (123)
calculated total energy	-6.010	eV/atom
N(E_F)	28.70	states/eV/f.u.
crystal system	tetragonal

```
&SYSTEM
  ibrav = 0, nat = 20, ntyp = 3
/
ATOMIC_SPECIES
Nd 144.24 Nd.upf
Sm 150.36 Sm.upf
Y 88.91 Y.upf
CELL_PARAMETERS angstrom
-3.4293 3.2159 1.9193
-3.2878 -1.3391 -3.6308
-8.9421 -18.4233 14.8920
ATOMIC_POSITIONS angstrom
Nd 0.0000 0.0000 0.0000
Sm -1.7893 -3.6866 2.9799
Sm -3.5769 -7.3693 5.9568
Sm -5.3653 -11.0539 8.9352
Sm -7.1528 -14.7367 11.9121
Y -3.3586 0.9384 -0.8558
Y -5.1491 -2.7507 2.1262
Y -6.9353 -6.4307 5.1008
Y -8.7239 -10.1158 8.0796
Y -10.5101 -13.7958 11.0543
Y -2.6125 -0.2418 2.4549
Y -4.3976 -3.9196 5.4277
Y -6.1857 -7.6037 8.4056
Y -7.9739 -11.2878 11.3836
Y -9.7589 -14.9655 14.3564
Y -2.5417 -2.5193 -0.3202
Y -4.3268 -6.1971 2.6527
Y -6.1150 -9.8812 5.6306
Y -7.9031 -13.5653 8.6085
Y -9.6882 -17.2430 11.5814
```